Below is crystalline ZnFeO2 at its relaxed geometry, with properties calculated at the PBE with a Hubbard U level.

a = 3.2256 Å, b = 8.1836 Å, c = 8.4508 Å
α = 90.43°, β = 101.47°, γ = 84.00°
Atoms (fractional coordinates):
Zn1 0.3832 0.0727 0.7587
Zn2 0.6168 0.9273 0.2413
Zn3 0.9983 0.7336 0.6167
Zn4 0.0017 0.2664 0.3833
Fe1 0.1770 0.2390 0.0683
Fe2 0.6596 0.3878 0.7200
Fe3 0.3404 0.6122 0.2800
Fe4 0.8230 0.7610 0.9317
O1 0.4001 0.7532 0.0763
O2 0.4230 0.3712 0.2724
O3 0.5770 0.6288 0.7276
O4 0.5999 0.2468 0.9237
O5 0.0764 0.0685 0.2437
O6 0.1162 0.2712 0.6156
O7 0.9236 0.9315 0.7563
O8 0.8838 0.7288 0.3844

Summary:
- crystal system = triclinic
- polymorph energy (0 for the lowest one) (meV per atom) = 77.8